Entry 1:
VASP calculation (SCAN) on a PBEsol-optimized structure of NaSb2TeI.

Results
Crystal system   tetragonal
Energy above the lowest structure with this stoichiometry   172.0 meV/atom
Density of states at the Fermi level   1.143 states/eV per atom

abc: 5.505 5.505 5.245
angles: 90.00 90.00 90.00
Positions (direct):
Na 0.000 0.000 0.000
Sb 0.000 0.500 0.000
Sb 0.500 0.000 0.000
Te 0.000 0.000 0.500
I 0.500 0.500 0.500

***

Entry 2:
VASP calculation (SCAN) on a PBEsol-optimized structure of K2YAg.

Results
Crystal system   orthorhombic
ΔH_f (0 K)   0.5476 eV/atom
Energy above the lowest structure with this stoichiometry   386.5 meV/atom
Density of states at the Fermi level   0.887 states/eV per atom

abc: 6.882 6.882 3.559
angles: 90.00 90.00 124.09
Positions (direct):
K 0.000 0.500 0.000
K 0.500 0.000 0.000
Y 0.000 0.000 0.500
Ag 0.500 0.500 0.500

***

Entry 3:
VASP calculation (SCAN) on a PBEsol-optimized structure of AlPtRh.

Results
Crystal system   cubic
ΔH_f (0 K)   -0.7832 eV/atom
Energy above the lowest structure with this stoichiometry   108.9 meV/atom
Density of states at the Fermi level   0.505 states/eV per atom

abc: 4.035 4.035 4.035
angles: 60.00 60.00 60.00
Positions (direct):
Al 0.000 0.000 0.000
Pt 0.250 0.250 0.250
Rh 0.750 0.750 0.750

***

Entry 4:
VASP calculation (SCAN) on a PBEsol-optimized structure of ScTiZn2S.

Results
Crystal system   tetragonal
E_tot   -13.295 eV/atom
Density of states at the Fermi level   0.717 states/eV per atom

abc: 4.589 4.589 4.469
angles: 90.00 90.00 90.00
Positions (direct):
Sc 0.000 0.000 0.000
Ti 0.500 0.500 0.000
Zn 0.000 0.500 0.500
Zn 0.500 0.000 0.500
S 0.500 0.500 0.500

***

Entry 5:
VASP calculation (SCAN) on a PBEsol-optimized structure of AgHgPt2.

Results
Crystal system   orthorhombic
ΔH_f (0 K)   0.0676 eV/atom
Density of states at the Fermi level   0.364 states/eV per atom

abc: 4.876 4.876 2.898
angles: 90.00 90.00 107.91
Positions (direct):
Ag 0.000 0.000 0.000
Hg 0.500 0.500 0.000
Pt 0.000 0.500 0.500
Pt 0.500 0.000 0.500

***

Entry 6:
VASP calculation (SCAN) on a PBEsol-optimized structure of BeSiRu2.

Results
Crystal system   cubic
Energy above the lowest structure with this stoichiometry   0.0 meV/atom
Density of states at the Fermi level   0.619 states/eV per atom

abc: 4.009 4.009 4.009
angles: 60.00 60.00 60.00
Positions (direct):
Be 0.000 0.000 0.000
Si 0.500 0.500 0.500
Ru 0.250 0.250 0.250
Ru 0.750 0.750 0.750

***

Entry 7:
VASP calculation (SCAN) on a PBEsol-optimized structure of SrSb2Rh.

Results
Crystal system   trigonal
E_tot   -33.399 eV/atom
Density of states at the Fermi level   0.354 states/eV per atom

abc: 6.917 6.917 6.917
angles: 36.01 36.01 36.01
Positions (direct):
Sr 0.000 0.000 0.000
Sb 0.215 0.215 0.215
Sb 0.440 0.440 0.440
Rh 0.822 0.822 0.822

***

Entry 8:
VASP calculation (SCAN) on a PBEsol-optimized structure of PrAl22O34.

Results
Crystal system   monoclinic
Energy above the lowest structure with this stoichiometry   10.1 meV/atom
Density of states at the Fermi level   0.024 states/eV per atom

abc: 9.723 5.615 11.742
angles: 90.00 105.61 90.00
Positions (direct):
Pr 0.000 0.000 0.000
Al 0.050 0.253 0.311
Al 0.050 0.747 0.311
Al 0.054 0.500 0.572
Al 0.105 0.000 0.732
Al 0.150 0.500 0.875
Al 0.205 0.000 0.523
Al 0.255 0.500 0.172
Al 0.302 0.000 0.308
Al 0.353 0.500 0.471
Al 0.358 0.251 0.738
Al 0.358 0.749 0.738
Al 0.549 0.248 0.305
Al 0.549 0.752 0.305
Al 0.552 0.000 0.570
Al 0.605 0.500 0.739
Al 0.652 0.000 0.875
Al 0.701 0.500 0.520
Al 0.758 0.000 0.171
Al 0.801 0.500 0.307
Al 0.853 0.000 0.468
Al 0.853 0.251 0.729
Al 0.853 0.749 0.729
O 0.001 0.500 0.413
O 0.016 0.000 0.422
O 0.044 0.238 0.818
O 0.044 0.762 0.818
O 0.107 0.000 0.231
O 0.110 0.500 0.238
O 0.155 0.234 0.622
O 0.155 0.766 0.622
O 0.181 0.500 0.023
O 0.248 0.232 0.422
O 0.248 0.768 0.422
O 0.294 0.000 0.806
O 0.294 0.500 0.810
O 0.358 0.247 0.232
O 0.358 0.753 0.232
O 0.392 0.000 0.622
O 0.406 0.500 0.634
O 0.501 0.000 0.410
O 0.513 0.500 0.422
O 0.548 0.250 0.814
O 0.548 0.750 0.814
O 0.607 0.000 0.228
O 0.611 0.500 0.238
O 0.658 0.263 0.622
O 0.658 0.737 0.622
O 0.749 0.265 0.422
O 0.749 0.735 0.422
O 0.757 0.000 0.022
O 0.796 0.500 0.803
O 0.804 0.000 0.813
O 0.861 0.251 0.234
O 0.861 0.749 0.234
O 0.894 0.500 0.623
O 0.906 0.000 0.631

***

Entry 9:
VASP calculation (SCAN) on a PBEsol-optimized structure of Si4HgBr.

Results
Crystal system   cubic
E_tot   -20.487 eV/atom
Density of states at the Fermi level   0.651 states/eV per atom

abc: 5.365 5.365 5.365
angles: 60.00 60.00 60.00
Positions (direct):
Si 0.124 0.124 0.124
Si 0.124 0.124 0.627
Si 0.124 0.627 0.124
Si 0.627 0.124 0.124
Hg 0.500 0.500 0.500
Br 0.750 0.750 0.750

***

Entry 10:
VASP calculation (SCAN) on a PBEsol-optimized structure of TaCo2Rh.

Results
Crystal system   cubic
ΔH_f (0 K)   -0.1299 eV/atom
Energy above the lowest structure with this stoichiometry   146.5 meV/atom
Density of states at the Fermi level   1.306 states/eV per atom

abc: 4.161 4.161 4.161
angles: 60.00 60.00 60.00
Positions (direct):
Ta 0.000 0.000 0.000
Co 0.250 0.250 0.250
Co 0.750 0.750 0.750
Rh 0.500 0.500 0.500

***

Entry 11:
VASP calculation (SCAN) on a PBEsol-optimized structure of As2IrPb.

Results
Crystal system   tetragonal
ΔH_f (0 K)   0.6676 eV/atom
Energy above the lowest structure with this stoichiometry   788.7 meV/atom
Density of states at the Fermi level   0.698 states/eV per atom

abc: 4.893 4.893 3.143
angles: 90.00 90.00 90.00
Positions (direct):
As 0.000 0.500 0.000
As 0.500 0.000 0.000
Ir 0.000 0.000 0.500
Pb 0.500 0.500 0.500

***

Entry 12:
VASP calculation (SCAN) on a PBEsol-optimized structure of Cd2PbBr.

Results
Crystal system   orthorhombic
Energy above the lowest structure with this stoichiometry   45.1 meV/atom
Density of states at the Fermi level   0.465 states/eV per atom

abc: 6.524 6.524 6.524
angles: 149.17 133.08 57.20
Positions (direct):
Cd 0.242 0.242 0.000
Cd 0.758 0.758 0.000
Pb 0.000 0.500 0.500
Br 0.500 0.000 0.500

***

Entry 13:
VASP calculation (SCAN) on a PBEsol-optimized structure of NbGaH3.

Results
Crystal system   cubic
E_tot   -11.713 eV/atom
Density of states at the Fermi level   0.346 states/eV per atom

abc: 3.609 3.609 3.609
angles: 90.00 90.00 90.00
Positions (direct):
Nb 0.000 0.000 0.000
Ga 0.500 0.500 0.500
H 0.000 0.000 0.500
H 0.000 0.500 0.000
H 0.500 0.000 0.000

***

Entry 14:
VASP calculation (SCAN) on a PBEsol-optimized structure of Na3Sr2Ti3Si4O18.

Results
Crystal system   monoclinic
E_tot   -11.580 eV/atom

abc: 10.226 10.226 5.409
angles: 96.34 96.34 40.66
Positions (direct):
Na 0.000 0.000 0.000
Na 0.259 0.741 0.500
Na 0.741 0.259 0.500
Sr 0.287 0.287 0.262
Sr 0.713 0.713 0.738
Ti 0.152 0.152 0.707
Ti 0.500 0.500 0.000
Ti 0.848 0.848 0.293
Si 0.139 0.572 0.797
Si 0.428 0.861 0.203
Si 0.572 0.139 0.797
Si 0.861 0.428 0.203
O 0.009 0.634 0.028
O 0.012 0.634 0.534
O 0.064 0.064 0.675
O 0.234 0.647 0.827
O 0.320 0.320 0.778
O 0.353 0.766 0.173
O 0.366 0.988 0.466
O 0.366 0.991 0.972
O 0.437 0.437 0.241
O 0.563 0.563 0.759
O 0.634 0.009 0.028
O 0.634 0.012 0.534
O 0.647 0.234 0.827
O 0.680 0.680 0.222
O 0.766 0.353 0.173
O 0.936 0.936 0.325
O 0.988 0.366 0.466
O 0.991 0.366 0.972

***

Entry 15:
VASP calculation (SCAN) on a PBEsol-optimized structure of Sc2MnPb.

Results
Crystal system   orthorhombic
ΔH_f (0 K)   -0.2105 eV/atom
Density of states at the Fermi level   0.753 states/eV per atom

abc: 3.309 4.157 6.070
angles: 90.00 90.00 90.00
Positions (direct):
Sc 0.000 0.000 0.000
Sc 0.500 0.500 0.272
Mn 0.000 0.000 0.476
Pb 0.500 0.500 0.751

***

Entry 16:
VASP calculation (SCAN) on a PBEsol-optimized structure of FeBr5.

Results
Crystal system   orthorhombic
E_tot   -19.348 eV/atom
Density of states at the Fermi level   0.758 states/eV per atom

abc: 6.896 6.896 7.189
angles: 90.00 90.00 150.29
Positions (direct):
Fe 0.000 0.000 0.000
Br 0.167 0.833 0.500
Br 0.372 0.628 0.000
Br 0.500 0.500 0.500
Br 0.628 0.372 0.000
Br 0.833 0.167 0.500

***

Entry 17:
VASP calculation (SCAN) on a PBEsol-optimized structure of ZnSbTeN2.

Results
Crystal system   tetragonal
Energy above the lowest structure with this stoichiometry   246.5 meV/atom
Density of states at the Fermi level   0.382 states/eV per atom

abc: 4.141 4.141 5.346
angles: 90.00 90.00 90.00
Positions (direct):
Zn 0.000 0.000 0.000
Sb 0.500 0.500 0.500
Te 0.000 0.000 0.500
N 0.000 0.500 0.000
N 0.500 0.000 0.000

***

Entry 18:
VASP calculation (SCAN) on a PBEsol-optimized structure of La2Ru.

Results
Crystal system   cubic
ΔH_f (0 K)   -0.2782 eV/atom
Density of states at the Fermi level   0.669 states/eV per atom

abc: 4.895 4.895 4.895
angles: 60.00 60.00 60.00
Positions (direct):
La 0.250 0.250 0.250
La 0.750 0.750 0.750
Ru 0.000 0.000 0.000

***

Entry 19:
VASP calculation (SCAN) on a PBEsol-optimized structure of TaSb4Pb.

Results
Crystal system   cubic
E_tot   -47.667 eV/atom
Density of states at the Fermi level   0.658 states/eV per atom

abc: 6.041 6.041 6.041
angles: 60.00 60.00 60.00
Positions (direct):
Ta 0.000 0.000 0.000
Sb 0.123 0.626 0.626
Sb 0.626 0.123 0.626
Sb 0.626 0.626 0.123
Sb 0.626 0.626 0.626
Pb 0.250 0.250 0.250

***

Entry 20:
VASP calculation (SCAN) on a PBEsol-optimized structure of Ba8SrCa3W4O24.

Results
Crystal system   triclinic
E_tot   -22.915 eV/atom
Density of states at the Fermi level   0.000 states/eV per atom

abc: 5.925 10.292 10.402
angles: 80.53 89.79 73.39
Positions (direct):
Ba 0.064 0.372 0.197
Ba 0.187 0.124 0.561
Ba 0.306 0.881 0.936
Ba 0.435 0.625 0.317
Ba 0.565 0.375 0.683
Ba 0.694 0.119 0.064
Ba 0.813 0.876 0.439
Ba 0.936 0.628 0.803
Sr 0.500 0.500 0.000
Ca 0.000 0.500 0.500
Ca 0.251 0.000 0.249
Ca 0.749 0.000 0.751
W 0.129 0.248 0.874
W 0.374 0.752 0.622
W 0.626 0.248 0.378
W 0.871 0.752 0.126
O 0.056 0.373 0.708
O 0.090 0.845 0.176
O 0.108 0.624 0.048
O 0.112 0.871 0.697
O 0.169 0.652 0.569
O 0.195 0.124 0.041
O 0.304 0.874 0.456
O 0.361 0.368 0.451
O 0.363 0.331 0.918
O 0.379 0.120 0.797
O 0.418 0.150 0.325
O 0.446 0.627 0.785
O 0.554 0.373 0.215
O 0.582 0.850 0.675
O 0.621 0.880 0.203
O 0.637 0.669 0.082
O 0.639 0.632 0.549
O 0.696 0.126 0.544
O 0.805 0.876 0.959
O 0.831 0.348 0.431
O 0.888 0.129 0.303
O 0.892 0.376 0.952
O 0.910 0.155 0.824
O 0.944 0.627 0.292

***

Entry 21:
VASP calculation (SCAN) on a PBEsol-optimized structure of Zr2ScCu.

Results
Crystal system   tetragonal
ΔH_f (0 K)   0.0446 eV/atom
Energy above the lowest structure with this stoichiometry   159.9 meV/atom
Density of states at the Fermi level   1.283 states/eV per atom

abc: 5.379 5.379 5.379
angles: 135.05 135.05 65.46
Positions (direct):
Zr 0.250 0.750 0.500
Zr 0.750 0.250 0.500
Sc 0.000 0.000 0.000
Cu 0.500 0.500 0.000